Record 1
A plane-wave DFT calculation with PBE was carried out for PrIn2Ni after structural relaxation.

- Raw total energy: -4.39 eV/atom
- Magnetization: 0.00 μB/f.u.

Structure (CIF):
```
data_PrIn2Ni
_chemical_formula_sum 'Pr20 In40 Ni20'
_symmetry_space_group_name_H-M 'C m c m'
_symmetry_Int_Tables_number 63
_symmetry_space_group_name_Hall '-C 2c 2'
_cell_length_a 4.429
_cell_length_b 18.481
_cell_length_c 21.917
_cell_angle_alpha 90.00
_cell_angle_beta 90.00
_cell_angle_gamma 90.00
loop_
_atom_site_label
_atom_site_type_symbol
_atom_site_fract_x
_atom_site_fract_y
_atom_site_fract_z
Pr1 Pr 0.000 0.030 0.250
Pr2 Pr 0.000 0.063 0.079
Pr3 Pr 0.000 0.271 0.129
In1 In 0.000 0.099 0.643
In2 In 0.000 0.225 0.750
In3 In 0.000 0.300 0.533
In4 In 0.000 0.365 0.675
In5 In 0.000 0.392 0.250
In6 In 0.000 0.433 0.043
Ni1 Ni 0.000 0.156 0.532
Ni2 Ni 0.000 0.183 0.250
Ni3 Ni 0.000 0.486 0.157
```

---

Record 2
A plane-wave DFT calculation with PBE was carried out for PrInNi after structural relaxation.

- Raw total energy: -4.56 eV/atom
- Magnetization: 0.00 μB/f.u.

Structure (CIF):
```
data_PrInNi
_chemical_formula_sum 'Pr3 In3 Ni3'
_symmetry_space_group_name_H-M 'P -6 2 m'
_symmetry_Int_Tables_number 189
_symmetry_space_group_name_Hall 'P -6 -2'
_cell_length_a 7.0319
_cell_length_b 7.0319
_cell_length_c 4.7120
_cell_angle_alpha 90.00
_cell_angle_beta 90.00
_cell_angle_gamma 120.00
loop_
_atom_site_label
_atom_site_type_symbol
_atom_site_fract_x
_atom_site_fract_y
_atom_site_fract_z
Pr1 Pr 0.0000 0.5512 0.0000
In1 In 0.0000 0.0000 0.0000
In2 In 0.3333 0.6667 0.5000
Ni1 Ni 0.0000 0.2149 0.5000
```

---

Record 3
A plane-wave DFT calculation with PBE was carried out for PrIn2Ni after structural relaxation.

- Raw total energy: -4.36 eV/atom
- Magnetization: 0.00 μB/f.u.

Structure (CIF):
```
data_PrIn2Ni
_chemical_formula_sum 'Pr4 In8 Ni4'
_symmetry_space_group_name_H-M 'C m m m'
_symmetry_Int_Tables_number 65
_symmetry_space_group_name_Hall '-C 2 2'
_cell_length_a 4.526
_cell_length_b 18.850
_cell_length_c 4.377
_cell_angle_alpha 90.00
_cell_angle_beta 90.00
_cell_angle_gamma 90.00
loop_
_atom_site_label
_atom_site_type_symbol
_atom_site_fract_x
_atom_site_fract_y
_atom_site_fract_z
Pr1 Pr 0.000 0.140 0.000
In1 In 0.000 0.000 0.500
In2 In 0.000 0.294 0.500
In3 In 0.000 0.500 0.000
Ni1 Ni 0.000 0.427 0.500
```